The following is a DFT calculation (PBE+U) of crystalline CrCuAs2O8 at its relaxed geometry.

```
data_CrCuAs2O8
_chemical_formula_sum 'Cr1 Cu1 As2 O8'
_cell_length_a 5.587
_cell_length_b 5.587
_cell_length_c 5.587
_cell_angle_alpha 108.32
_cell_angle_beta 108.32
_cell_angle_gamma 111.80
_space_group_name_H-M_alt 'P 1'
_space_group_IT_number 1
loop_
_space_group_symop_operation_xyz
'x,y,z'
loop_
_atom_site_label
_atom_site_type_symbol
_atom_site_fract_x
_atom_site_fract_y
_atom_site_fract_z
_atom_site_occupancy
Cr1 Cr 0.000 0.000 0.000 1
Cu1 Cu 0.750 0.250 0.500 1
As1 As 0.250 0.750 0.500 1
As2 As 0.500 0.500 0.000 1
O1 O 0.063 0.369 0.307 1
O2 O 0.063 0.756 0.693 1
O3 O 0.118 0.305 0.812 1
O4 O 0.244 0.937 0.307 1
O5 O 0.493 0.305 0.188 1
O6 O 0.631 0.937 0.693 1
O7 O 0.695 0.507 0.812 1
O8 O 0.695 0.882 0.188 1
```

Crystal system ... tetragonal
Space group ... I-4m2 (119)
Size of the total moment ... 0.99 μB per cell
Total energy ... -71.58 eV for the cell shown


The following is a DFT calculation (PBE+U) of crystalline CrCuAsO2 at its relaxed geometry.

```
data_CrCuAsO2
_chemical_formula_sum 'Cr1 Cu1 As1 O2'
_cell_length_a 3.709
_cell_length_b 3.709
_cell_length_c 5.265
_cell_angle_alpha 90.00
_cell_angle_beta 90.00
_cell_angle_gamma 90.00
_space_group_name_H-M_alt 'P 1'
_space_group_IT_number 1
loop_
_space_group_symop_operation_xyz
'x,y,z'
loop_
_atom_site_label
_atom_site_type_symbol
_atom_site_fract_x
_atom_site_fract_y
_atom_site_fract_z
_atom_site_occupancy
Cr1 Cr 0.000 0.000 0.000 1
Cu1 Cu 0.000 0.000 0.500 1
As1 As 0.500 0.500 0.000 1
O1 O 0.000 0.500 0.500 1
O2 O 0.500 0.000 0.500 1
```

Crystal system ... tetragonal
Space group ... P4/mmm (123)
Size of the total moment ... 4.39 μB per cell
Total energy ... -24.95 eV for the cell shown


The following is a DFT calculation (PBE+U) of crystalline CrCuAsO6 at its relaxed geometry.

```
data_CrCuAsO6
_chemical_formula_sum 'Cr2 Cu2 As2 O12'
_cell_length_a 4.489
_cell_length_b 4.489
_cell_length_c 8.855
_cell_angle_alpha 90.00
_cell_angle_beta 90.00
_cell_angle_gamma 90.00
_space_group_name_H-M_alt 'P 1'
_space_group_IT_number 1
loop_
_space_group_symop_operation_xyz
'x,y,z'
loop_
_atom_site_label
_atom_site_type_symbol
_atom_site_fract_x
_atom_site_fract_y
_atom_site_fract_z
_atom_site_occupancy
Cr1 Cr 0.000 0.000 0.000 1
Cr2 Cr 0.500 0.500 0.500 1
Cu1 Cu 0.000 0.000 0.669 1
Cu2 Cu 0.500 0.500 0.169 1
As1 As 0.000 0.000 0.335 1
As2 As 0.500 0.500 0.835 1
O1 O 0.186 0.186 0.174 1
O2 O 0.194 0.194 0.494 1
O3 O 0.204 0.204 0.839 1
O4 O 0.296 0.704 0.339 1
O5 O 0.306 0.694 0.994 1
O6 O 0.314 0.686 0.674 1
O7 O 0.686 0.314 0.674 1
O8 O 0.694 0.306 0.994 1
O9 O 0.704 0.296 0.339 1
O10 O 0.796 0.796 0.839 1
O11 O 0.806 0.806 0.494 1
O12 O 0.814 0.814 0.174 1
```

Crystal system ... tetragonal
Space group ... P4_2nm (102)
Size of the total moment ... 6.36 μB per cell
Total energy ... -110.23 eV for the cell shown


The following is a DFT calculation (PBE+U) of crystalline CrCu2AsO8 at its relaxed geometry.

```
data_CrCu2AsO8
_chemical_formula_sum 'Cr1 Cu2 As1 O8'
_cell_length_a 5.609
_cell_length_b 5.609
_cell_length_c 5.609
_cell_angle_alpha 109.31
_cell_angle_beta 109.31
_cell_angle_gamma 109.80
_space_group_name_H-M_alt 'P 1'
_space_group_IT_number 1
loop_
_space_group_symop_operation_xyz
'x,y,z'
loop_
_atom_site_label
_atom_site_type_symbol
_atom_site_fract_x
_atom_site_fract_y
_atom_site_fract_z
_atom_site_occupancy
Cr1 Cr 0.000 0.000 0.000 1
Cu1 Cu 0.500 0.500 0.000 1
Cu2 Cu 0.750 0.250 0.500 1
As1 As 0.250 0.750 0.500 1
O1 O 0.271 0.572 0.700 1
O2 O 0.363 0.161 0.202 1
O3 O 0.428 0.128 0.700 1
O4 O 0.428 0.729 0.300 1
O5 O 0.839 0.040 0.202 1
O6 O 0.839 0.637 0.798 1
O7 O 0.872 0.572 0.300 1
O8 O 0.960 0.161 0.798 1
```

Crystal system ... tetragonal
Space group ... I-4m2 (119)
Size of the total moment ... 3.01 μB per cell
Total energy ... -67.73 eV for the cell shown


The following is a DFT calculation (PBE+U) of crystalline CrCu2AsO6 at its relaxed geometry.

```
data_CrCu2AsO6
_chemical_formula_sum 'Cr2 Cu4 As2 O12'
_cell_length_a 6.674
_cell_length_b 6.674
_cell_length_c 4.817
_cell_angle_alpha 92.10
_cell_angle_beta 92.10
_cell_angle_gamma 84.05
_space_group_name_H-M_alt 'P 1'
_space_group_IT_number 1
loop_
_space_group_symop_operation_xyz
'x,y,z'
loop_
_atom_site_label
_atom_site_type_symbol
_atom_site_fract_x
_atom_site_fract_y
_atom_site_fract_z
_atom_site_occupancy
Cr1 Cr 0.096 0.904 0.750 1
Cr2 Cr 0.904 0.096 0.250 1
Cu1 Cu 0.109 0.387 0.790 1
Cu2 Cu 0.387 0.109 0.290 1
Cu3 Cu 0.613 0.891 0.710 1
Cu4 Cu 0.891 0.613 0.210 1
As1 As 0.401 0.599 0.250 1
As2 As 0.599 0.401 0.750 1
O1 O 0.079 0.160 0.560 1
O2 O 0.159 0.631 0.038 1
O3 O 0.160 0.079 0.060 1
O4 O 0.332 0.454 0.545 1
O5 O 0.369 0.841 0.462 1
O6 O 0.454 0.332 0.045 1
O7 O 0.546 0.668 0.955 1
O8 O 0.631 0.159 0.538 1
O9 O 0.668 0.546 0.455 1
O10 O 0.840 0.921 0.940 1
O11 O 0.841 0.369 0.962 1
O12 O 0.921 0.840 0.440 1
```

Crystal system ... monoclinic
Space group ... C2/c (15)
Size of the total moment ... 2.03 μB per cell
Total energy ... -119.67 eV for the cell shown


The following is a DFT calculation (PBE+U) of crystalline CrCu2AsO at its relaxed geometry.

```
data_CrCu2AsO
_chemical_formula_sum 'Cr1 Cu2 As1 O1'
_cell_length_a 4.419
_cell_length_b 4.419
_cell_length_c 5.153
_cell_angle_alpha 90.00
_cell_angle_beta 90.00
_cell_angle_gamma 90.00
_space_group_name_H-M_alt 'P 1'
_space_group_IT_number 1
loop_
_space_group_symop_operation_xyz
'x,y,z'
loop_
_atom_site_label
_atom_site_type_symbol
_atom_site_fract_x
_atom_site_fract_y
_atom_site_fract_z
_atom_site_occupancy
Cr1 Cr 0.000 0.000 0.000 1
Cu1 Cu 0.000 0.500 0.500 1
Cu2 Cu 0.500 0.000 0.500 1
As1 As 0.000 0.000 0.500 1
O1 O 0.500 0.500 0.000 1
```

Crystal system ... tetragonal
Space group ... P4/mmm (123)
Size of the total moment ... 3.06 μB per cell
Total energy ... -22.22 eV for the cell shown